VASP calculation (PBE-GGA) on a relaxed structure of Cs2GaHSe.

Values from the calculation:
Electronic total energy, eV/f.u.: -12.38
Volume, Å³ per atom: 51.2

a = 7.0002 Å, b = 5.2211 Å, c = 7.0002 Å
α = 90.00°, β = 90.00°, γ = 90.00°
Sites, in units of the cell vectors:
Cs (0.0000, 0.0000, 0.5000)
Cs (0.5000, 0.0000, 0.0000)
H (0.5000, 0.5000, 0.5000)
Ga (0.0000, 0.5000, 0.0000)
Se (0.0000, 0.0000, 0.0000)